Record 1
Entry from Alexandria: an optimized crystal structure of SnHg2AuS4 (GGA-PBE).

abc: 8.4403 8.4482 12.0006
angles: 90.00 90.00 90.00
With the nearest neighbours (Å) after each atom.
Space group Fmm2 (No. 42)
One atom of each set of equivalent atoms:
Sn  0.0000  0.0000  0.0000  4 S 2.60
Hg  0.2500  0.2500  0.2503  4 S 2.62
Au  0.0000  0.0000  0.5011  4 S 2.52-2.53
S  0.0000  0.2447  0.6209  1 Au 2.52, 1 Sn 2.60, 2 Hg 2.62
S  0.2442  0.0000  0.3794  1 Au 2.53, 1 Sn 2.60, 2 Hg 2.62

Properties
Formation energy from raw total energies   -0.8 eV/f.u.


Record 2
Entry from Alexandria: an optimized crystal structure of Li4PrSn4 (GGA-PBE).

abc: 6.6011 6.6011 9.4653
angles: 90.00 90.00 90.00
With the nearest neighbours (Å) after each atom.
Space group P4_2/nmc (No. 137, origin choice 2)
One atom of each set of equivalent atoms:
Li  0.0189  0.2500  0.1662  5 Sn 2.79-2.86, 3 Li 2.97-3.05
Pr  0.2500  0.7500  0.2500  4 Sn 3.31
Sn  0.0316  0.2500  0.4610  5 Li 2.79-2.86, 1 Sn 2.88

Properties
Calculated formation energy   -3.4 eV/f.u.


What are the size of the total moment values for these records? In order: 0.000; 0.000 μB/cell.